A plane-wave DFT calculation with GGA-PBEsol was carried out for a geometry-optimized RbHfNb2As structure. Values from VASP.

Computed properties:
ΔH_f (0 K): 2.433 eV per atom
Uncorrected energy: -26.11 eV/cell
Calculated volume: 23.44 A^3/atom

Geometry as Quantum ESPRESSO input:
```
&SYSTEM
  ibrav = 0, nat = 5, ntyp = 4
/
ATOMIC_SPECIES
Rb 85.47 Rb.upf
Hf 178.49 Hf.upf
Nb 92.91 Nb.upf
As 74.92 As.upf
ATOMIC_POSITIONS crystal
Rb 0.0000 0.0000 0.0000
Hf 0.5000 0.5000 0.5000
Nb 0.0000 0.5000 0.0000
Nb 0.5000 0.0000 0.0000
As 0.0000 0.0000 0.5000
CELL_PARAMETERS angstrom
4.6827 0.0000 0.0000
0.0000 4.6827 0.0000
0.0000 0.0000 5.3456
```